[1]
A relaxed structure of NbGa2Pd9, computed with PBE.

```
NbGa2Pd9
1.0
3.9479 0.0000 0.0000
0.0000 3.9479 0.0000
0.0000 0.0000 11.7778
Nb Ga Pd
1 2 9
Cartesian
0.0000 0.0000 0.0000 Nb
0.0000 0.0000 4.0118 Ga
0.0000 0.0000 7.7661 Ga
0.0000 1.9740 1.9477 Pd
0.0000 1.9740 5.8889 Pd
0.0000 1.9740 9.8301 Pd
1.9740 0.0000 1.9477 Pd
1.9740 0.0000 5.8889 Pd
1.9740 0.0000 9.8301 Pd
1.9740 1.9740 0.0000 Pd
1.9740 1.9740 3.9216 Pd
1.9740 1.9740 7.8562 Pd
```

Space group = No. 123
Raw total energy = -5.726 eV/atom
Spin magnetization = 0.00 μB per cell
DFT formation energy = -488 meV per atom
V = 183.6 Å³/cell

=====

[2]
A relaxed structure of NbGa2Pd, computed with PBE.

```
NbGa2Pd
1.0
0.0000 3.1725 3.1725
3.1725 0.0000 3.1725
3.1725 3.1725 0.0000
Nb Ga Pd
1 2 1
Cartesian
0.0000 0.0000 0.0000 Nb
1.5863 1.5863 1.5863 Ga
4.7588 4.7588 4.7588 Ga
3.1725 3.1725 3.1725 Pd
```

Space group = No. 225
Raw total energy = -5.576 eV/atom
Spin magnetization = 0.91 μB per cell
DFT formation energy = -247 meV per atom
V = 63.9 Å³/cell

=====

[3]
A relaxed structure of NbGaPd6, computed with PBE.

```
NbGaPd6
1.0
3.9513 0.0000 0.0000
0.0000 3.9513 0.0000
0.0000 0.0000 7.8875
Nb Ga Pd
1 1 6
Cartesian
0.0000 0.0000 0.0000 Nb
0.0000 0.0000 3.9438 Ga
0.0000 1.9757 1.9510 Pd
0.0000 1.9757 5.9365 Pd
1.9757 0.0000 1.9510 Pd
1.9757 0.0000 5.9365 Pd
1.9757 1.9757 0.0000 Pd
1.9757 1.9757 3.9438 Pd
```

Space group = No. 123
Raw total energy = -6.008 eV/atom
Relative energy among the computed polymorphs = 0.000 eV per atom
Spin magnetization = 0.00 μB per cell
DFT formation energy = -476 meV per atom
V = 123.1 Å³/cell